DFT (PBE) results for a relaxed structure of Pm4GeBiC.

Properties
ΔE_f   -550 meV per atom
Space group   Cmcm (63)

Cell: 6.983 7.002 8.736 Å, 90.00 113.56 90.00°
Fractional positions:
Pm: 0.918 0.250 0.836
Pm: 0.406 0.750 0.813
Pm: 0.082 0.750 0.164
Pm: 0.594 0.250 0.187
Pm: 0.500 0.500 0.500
Pm: 0.000 0.000 0.500
Pm: 0.500 0.000 0.500
Pm: 0.000 0.500 0.500
Ge: 0.116 0.250 0.231
Ge: 0.884 0.750 0.769
Bi: 0.606 0.750 0.212
Bi: 0.394 0.250 0.788
C: 0.244 0.750 0.488
C: 0.756 0.250 0.512